(1)
Material: LuCuSiOs
Method: DFT, PBE
State: relaxed

Results
For the calculated volume, the calculation gives 62 Å³ per cell. Its space-group type is F-43m. The calculation puts the uncorrected energy at -25.4 eV for the cell shown. The energy above the most stable polymorph in this dataset comes out at 0.000 eV per atom.

Unit cell a=4.438 b=4.438 c=4.438 alpha=60.00 beta=60.00 gamma=60.00
Fractional positions:
Lu (0.000, 0.000, 0.000)
Cu (0.750, 0.750, 0.750)
Si (0.500, 0.500, 0.500)
Os (0.250, 0.250, 0.250)

(2)
Material: Re6Ni7
Method: DFT, PBE
State: relaxed

Results
For the calculated volume, the calculation gives 180 Å³ per cell. Its space-group type is R-3m. The value obtained for the formation energy is 0.37 eV/atom. The calculation puts the uncorrected energy at -108.6 eV for the cell shown. The energy above the most stable polymorph in this dataset comes out at 0.347 eV per atom.

Unit cell a=8.823 b=8.823 c=8.823 alpha=32.83 beta=32.83 gamma=32.83
Fractional positions:
Re (0.090, 0.090, 0.582)
Re (0.090, 0.582, 0.090)
Re (0.418, 0.910, 0.910)
Re (0.582, 0.090, 0.090)
Re (0.910, 0.418, 0.910)
Re (0.910, 0.910, 0.418)
Ni (0.000, 0.000, 0.000)
Ni (0.165, 0.165, 0.165)
Ni (0.351, 0.351, 0.351)
Ni (0.452, 0.452, 0.452)
Ni (0.548, 0.548, 0.548)
Ni (0.649, 0.649, 0.649)
Ni (0.835, 0.835, 0.835)

(3)
Material: NbHgO3
Method: DFT, PBE
State: relaxed

Results
For the calculated volume, the calculation gives 148 Å³ per cell. Its space-group type is R-3. The calculation puts the uncorrected energy at -67.6 eV for the cell shown.

Unit cell a=6.521 b=6.521 c=6.521 alpha=49.62 beta=49.62 gamma=49.62
Fractional positions:
Nb (0.151, 0.151, 0.151)
Nb (0.849, 0.849, 0.849)
Hg (0.360, 0.360, 0.360)
Hg (0.640, 0.640, 0.640)
O (0.036, 0.441, 0.825)
O (0.175, 0.964, 0.559)
O (0.441, 0.825, 0.036)
O (0.559, 0.175, 0.964)
O (0.825, 0.036, 0.441)
O (0.964, 0.559, 0.175)

- The lowest calculated volume belongs to which entry?
  LuCuSiOs